Crystalline K2PHO4 at its relaxed geometry, computed with GGA-PBE.

abc: 11.2036 9.9368 5.9496
angles: 85.82 62.20 31.98
Element x y z (fractional)
K  0.0459  0.0459  0.7041
K  0.2959  0.2959  0.9541
K  0.7041  0.7041  0.0459
K  0.9541  0.9541  0.2959
P  0.3750  0.3750  0.3750
P  0.6250  0.6250  0.6250
H  0.1250  0.1250  0.1250
H  0.8750  0.8750  0.8750
O  0.0197  0.6423  0.5722
O  0.2657  0.5722  0.6423
O  0.3577  0.9803  0.7343
O  0.4278  0.7343  0.9803
O  0.5722  0.2657  0.0197
O  0.6423  0.0197  0.2657
O  0.7343  0.4278  0.3577
O  0.9803  0.3577  0.4278

Properties
- energy (eV/atom) = -5.628
- calculated volume (Å³/cell) = 224.9